! InPbS3 PBE-GGA optimized geometry; values from VASP
&SYSTEM
  ibrav = 0, nat = 5, ntyp = 3
/
ATOMIC_SPECIES
In 114.82 In.upf
Pb 207.20 Pb.upf
S 32.06 S.upf
CELL_PARAMETERS angstrom
5.022 0.000 0.000
0.000 5.022 0.000
0.000 0.000 5.022
ATOMIC_POSITIONS crystal
In 0.000 0.000 0.000
Pb 0.500 0.500 0.500
S 0.000 0.000 0.500
S 0.000 0.500 0.000
S 0.500 0.000 0.000
! Symmetry: Pm-3m, No. 221
! Excess energy over the best structure of this formula in the dataset (meV per atom): 299


! Li2CdNiC PBE-GGA optimized geometry; values from VASP
&SYSTEM
  ibrav = 0, nat = 5, ntyp = 4
/
ATOMIC_SPECIES
Li 6.94 Li.upf
Cd 112.41 Cd.upf
Ni 58.69 Ni.upf
C 12.01 C.upf
CELL_PARAMETERS angstrom
4.238 0.000 0.000
0.000 4.238 0.000
0.000 0.000 3.618
ATOMIC_POSITIONS crystal
Li 0.000 0.500 0.000
Li 0.500 0.000 0.000
Cd 0.000 0.000 0.500
Ni 0.500 0.500 0.500
C 0.500 0.500 0.000
! Symmetry: P4/mmm, No. 123
! E_form (meV per atom): 80


! CaP2Rh3 PBE-GGA optimized geometry; values from VASP
&SYSTEM
  ibrav = 0, nat = 18, ntyp = 3
/
ATOMIC_SPECIES
Ca 40.08 Ca.upf
P 30.97 P.upf
Rh 102.91 Rh.upf
CELL_PARAMETERS angstrom
7.866 -1.942 0.000
7.866 1.942 0.000
-2.938 0.000 9.278
ATOMIC_POSITIONS crystal
Ca 0.000 0.000 0.000
Ca 0.158 0.158 0.695
Ca 0.842 0.842 0.305
P 0.196 0.196 0.132
P 0.363 0.363 0.551
P 0.459 0.459 0.220
P 0.541 0.541 0.780
P 0.637 0.637 0.449
P 0.804 0.804 0.868
Rh 0.036 0.036 0.319
Rh 0.219 0.219 0.397
Rh 0.321 0.321 0.043
Rh 0.372 0.372 0.792
Rh 0.500 0.500 0.500
Rh 0.628 0.628 0.208
Rh 0.679 0.679 0.957
Rh 0.781 0.781 0.603
Rh 0.964 0.964 0.681
! Symmetry: C2/m, No. 12
! E_form (meV per atom): -911


! Cu2PPb PBE-GGA optimized geometry; values from VASP
&SYSTEM
  ibrav = 0, nat = 8, ntyp = 3
/
ATOMIC_SPECIES
Cu 63.55 Cu.upf
P 30.97 P.upf
Pb 207.20 Pb.upf
CELL_PARAMETERS angstrom
-2.338 2.338 7.384
2.338 -2.338 7.384
2.338 2.338 -7.384
ATOMIC_POSITIONS crystal
Cu 0.375 0.217 0.342
Cu 0.783 0.125 0.158
Cu 0.875 0.033 0.658
Cu 0.967 0.625 0.842
P 0.000 0.000 0.000
P 0.750 0.250 0.500
Pb 0.250 0.750 0.500
Pb 0.500 0.500 0.000
! Symmetry: I-42d, No. 122
! E_form (meV per atom): 54


! Hf2Zn2Fe PBE-GGA optimized geometry; values from VASP
&SYSTEM
  ibrav = 0, nat = 10, ntyp = 3
/
ATOMIC_SPECIES
Hf 178.49 Hf.upf
Zn 65.41 Zn.upf
Fe 55.84 Fe.upf
CELL_PARAMETERS angstrom
6.673 0.000 0.000
0.000 6.673 0.000
0.000 0.000 3.745
ATOMIC_POSITIONS crystal
Hf 0.177 0.323 0.000
Hf 0.323 0.823 0.000
Hf 0.677 0.177 0.000
Hf 0.823 0.677 0.000
Zn 0.129 0.629 0.500
Zn 0.371 0.129 0.500
Zn 0.629 0.871 0.500
Zn 0.871 0.371 0.500
Fe 0.000 0.000 0.500
Fe 0.500 0.500 0.500
! Symmetry: P4/mbm, No. 127
! E_form (meV per atom): 31
! Excess energy over the best structure of this formula in the dataset (meV per atom): 0


! BaZnHgAu2 PBE-GGA optimized geometry; values from VASP
&SYSTEM
  ibrav = 0, nat = 5, ntyp = 4
/
ATOMIC_SPECIES
Ba 137.33 Ba.upf
Zn 65.41 Zn.upf
Hg 200.59 Hg.upf
Au 196.97 Au.upf
CELL_PARAMETERS angstrom
5.128 0.000 0.000
0.000 5.128 0.000
0.000 0.000 5.138
ATOMIC_POSITIONS crystal
Ba 0.000 0.000 0.000
Zn 0.500 0.500 0.500
Hg 0.500 0.500 0.000
Au 0.000 0.500 0.500
Au 0.500 0.000 0.500
! Symmetry: P4/mmm, No. 123
! E_form (meV per atom): -355
! Excess energy over the best structure of this formula in the dataset (meV per atom): 91


! Y2TcRh PBE-GGA optimized geometry; values from VASP
&SYSTEM
  ibrav = 0, nat = 4, ntyp = 3
/
ATOMIC_SPECIES
Y 88.91 Y.upf
Tc 98.00 Tc.upf
Rh 102.91 Rh.upf
CELL_PARAMETERS angstrom
3.210 0.000 0.000
0.000 4.587 0.000
0.000 0.000 5.772
ATOMIC_POSITIONS crystal
Y 0.000 0.000 0.000
Y 0.500 0.500 0.369
Tc 0.500 0.500 0.852
Rh 0.000 0.000 0.522
! Symmetry: Pmm2, No. 25
! E_form (meV per atom): 38


! CdPtAu2 PBE-GGA optimized geometry; values from VASP
&SYSTEM
  ibrav = 0, nat = 4, ntyp = 3
/
ATOMIC_SPECIES
Cd 112.41 Cd.upf
Pt 195.08 Pt.upf
Au 196.97 Au.upf
CELL_PARAMETERS angstrom
0.000 2.943 4.128
2.930 0.000 4.128
2.930 2.943 0.000
ATOMIC_POSITIONS crystal
Cd 0.000 0.000 0.000
Pt 0.250 0.250 0.250
Au 0.500 0.500 0.500
Au 0.750 0.750 0.750
! Symmetry: F222, No. 22
! E_form (meV per atom): -161


! KLiSeBr PBE-GGA optimized geometry; values from VASP
&SYSTEM
  ibrav = 0, nat = 4, ntyp = 4
/
ATOMIC_SPECIES
K 39.10 K.upf
Li 6.94 Li.upf
Se 78.96 Se.upf
Br 79.90 Br.upf
CELL_PARAMETERS angstrom
6.254 -1.784 0.000
6.254 1.784 0.000
-0.014 0.000 5.720
ATOMIC_POSITIONS crystal
K 0.000 0.000 0.000
Li 0.725 0.725 0.661
Se 0.540 0.540 0.489
Br 0.276 0.276 0.931
! Symmetry: Cm, No. 8
! Excess energy over the best structure of this formula in the dataset (meV per atom): 60


! Zn7Pt2Au PBE-GGA optimized geometry; values from VASP
&SYSTEM
  ibrav = 0, nat = 10, ntyp = 3
/
ATOMIC_SPECIES
Zn 65.41 Zn.upf
Pt 195.08 Pt.upf
Au 196.97 Au.upf
CELL_PARAMETERS angstrom
4.300 0.000 0.000
-2.150 3.724 0.000
0.000 0.000 10.596
ATOMIC_POSITIONS crystal
Zn 0.000 0.000 0.000
Zn 0.000 0.000 0.252
Zn 0.000 0.000 0.523
Zn 0.333 0.667 0.143
Zn 0.333 0.667 0.686
Zn 0.667 0.333 0.354
Zn 0.667 0.333 0.852
Pt 0.000 0.000 0.762
Pt 0.667 0.333 0.104
Au 0.333 0.667 0.428
! Symmetry: P3m1, No. 156
! E_form (meV per atom): -281


! Mo3HBr PBE-GGA optimized geometry; values from VASP
&SYSTEM
  ibrav = 0, nat = 5, ntyp = 3
/
ATOMIC_SPECIES
Mo 95.94 Mo.upf
H 1.01 H.upf
Br 79.90 Br.upf
CELL_PARAMETERS angstrom
4.112 0.000 0.000
0.000 4.112 0.000
0.000 0.000 4.112
ATOMIC_POSITIONS crystal
Mo 0.000 0.000 0.500
Mo 0.000 0.500 0.000
Mo 0.500 0.000 0.000
H 0.000 0.000 0.000
Br 0.500 0.500 0.500
! Symmetry: Pm-3m, No. 221
! Excess energy over the best structure of this formula in the dataset (meV per atom): 0


! In2RuPt2 PBE-GGA optimized geometry; values from VASP
&SYSTEM
  ibrav = 0, nat = 10, ntyp = 3
/
ATOMIC_SPECIES
In 114.82 In.upf
Ru 101.07 Ru.upf
Pt 195.08 Pt.upf
CELL_PARAMETERS angstrom
7.113 0.000 0.000
0.000 7.113 0.000
0.000 0.000 3.631
ATOMIC_POSITIONS crystal
In 0.172 0.328 0.000
In 0.328 0.828 0.000
In 0.672 0.172 0.000
In 0.828 0.672 0.000
Ru 0.000 0.000 0.500
Ru 0.500 0.500 0.500
Pt 0.132 0.632 0.500
Pt 0.368 0.132 0.500
Pt 0.632 0.868 0.500
Pt 0.868 0.368 0.500
! Symmetry: P4/mbm, No. 127
! E_form (meV per atom): 7
! Excess energy over the best structure of this formula in the dataset (meV per atom): 0


! PuAuI6 PBE-GGA optimized geometry; values from VASP
&SYSTEM
  ibrav = 0, nat = 8, ntyp = 3
/
ATOMIC_SPECIES
Pu 244.00 Pu.upf
Au 196.97 Au.upf
I 126.90 I.upf
CELL_PARAMETERS angstrom
7.148 0.000 0.000
0.765 7.421 0.000
2.096 3.386 7.427
ATOMIC_POSITIONS crystal
Pu 0.000 0.000 0.000
Au 0.000 0.500 0.000
I 0.156 0.408 0.713
I 0.215 0.011 0.257
I 0.324 0.744 0.888
I 0.676 0.256 0.112
I 0.785 0.989 0.743
I 0.844 0.592 0.287
! Symmetry: P-1, No. 2
! Excess energy over the best structure of this formula in the dataset (meV per atom): 0


! MgTiIr2 PBE-GGA optimized geometry; values from VASP
&SYSTEM
  ibrav = 0, nat = 8, ntyp = 3
/
ATOMIC_SPECIES
Mg 24.30 Mg.upf
Ti 47.87 Ti.upf
Ir 192.22 Ir.upf
CELL_PARAMETERS angstrom
-3.489 3.489 2.796
3.489 -3.489 2.796
3.489 3.489 -2.796
ATOMIC_POSITIONS crystal
Mg 0.000 0.000 0.000
Mg 0.750 0.250 0.500
Ti 0.250 0.750 0.500
Ti 0.500 0.500 0.000
Ir 0.156 0.625 0.031
Ir 0.375 0.406 0.531
Ir 0.594 0.125 0.969
Ir 0.875 0.844 0.469
! Symmetry: I-42d, No. 122
! E_form (meV per atom): -141


! CeNd7Dy4 PBE-GGA optimized geometry; values from VASP
&SYSTEM
  ibrav = 0, nat = 12, ntyp = 3
/
ATOMIC_SPECIES
Ce 140.12 Ce.upf
Nd 144.24 Nd.upf
Dy 162.50 Dy.upf
CELL_PARAMETERS angstrom
6.059 0.000 0.000
0.001 7.064 0.000
0.084 3.522 9.519
ATOMIC_POSITIONS crystal
Ce 0.000 0.000 0.000
Nd 0.247 0.463 0.074
Nd 0.248 0.814 0.373
Nd 0.256 0.288 0.424
Nd 0.500 0.000 0.000
Nd 0.744 0.712 0.576
Nd 0.752 0.186 0.627
Nd 0.753 0.537 0.926
Dy 0.245 0.402 0.729
Dy 0.245 0.870 0.728
Dy 0.755 0.130 0.272
Dy 0.755 0.598 0.271
! Symmetry: P-1, No. 2
! E_form (meV per atom): 142


! CuTcSb2 PBE-GGA optimized geometry; values from VASP
&SYSTEM
  ibrav = 0, nat = 4, ntyp = 3
/
ATOMIC_SPECIES
Cu 63.55 Cu.upf
Tc 98.00 Tc.upf
Sb 121.76 Sb.upf
CELL_PARAMETERS angstrom
-1.595 1.983 6.358
1.595 -1.983 6.358
1.595 1.983 -6.358
ATOMIC_POSITIONS crystal
Cu 0.000 0.000 0.000
Tc 0.784 0.284 0.500
Sb 0.353 0.853 0.500
Sb 0.611 0.611 0.000
! Symmetry: Imm2, No. 44
! Excess energy over the best structure of this formula in the dataset (meV per atom): 124


! LaCeSi2Pt5 PBE-GGA optimized geometry; values from VASP
&SYSTEM
  ibrav = 0, nat = 9, ntyp = 4
/
ATOMIC_SPECIES
La 138.91 La.upf
Ce 140.12 Ce.upf
Si 28.09 Si.upf
Pt 195.08 Pt.upf
CELL_PARAMETERS angstrom
4.339 0.000 0.000
0.000 4.339 0.000
0.000 0.000 8.904
ATOMIC_POSITIONS crystal
La 0.000 0.000 0.000
Ce 0.000 0.000 0.500
Si 0.500 0.500 0.364
Si 0.500 0.500 0.636
Pt 0.000 0.500 0.241
Pt 0.000 0.500 0.759
Pt 0.500 0.000 0.241
Pt 0.500 0.000 0.759
Pt 0.500 0.500 0.000
! Calculated total energy (eV/atom): -6.77
! Symmetry: P4/mmm, No. 123


! CrHg2H2 PBE-GGA optimized geometry; values from VASP
&SYSTEM
  ibrav = 0, nat = 10, ntyp = 3
/
ATOMIC_SPECIES
Cr 52.00 Cr.upf
Hg 200.59 Hg.upf
H 1.01 H.upf
CELL_PARAMETERS angstrom
5.784 0.000 0.000
0.000 5.784 0.000
0.000 0.000 4.416
ATOMIC_POSITIONS crystal
Cr 0.000 0.000 0.000
Cr 0.500 0.500 0.000
Hg 0.248 0.252 0.500
Hg 0.252 0.752 0.500
Hg 0.748 0.248 0.500
Hg 0.752 0.748 0.500
H 0.249 0.251 0.000
H 0.251 0.751 0.000
H 0.749 0.249 0.000
H 0.751 0.749 0.000
! Calculated total energy (eV/atom): -2.99
! Symmetry: P4/mbm, No. 127


! AcAg4Au PBE-GGA optimized geometry; values from VASP
&SYSTEM
  ibrav = 0, nat = 12, ntyp = 3
/
ATOMIC_SPECIES
Ac 227.00 Ac.upf
Ag 107.87 Ag.upf
Au 196.97 Au.upf
CELL_PARAMETERS angstrom
2.341 -8.477 0.000
2.341 8.477 0.000
0.000 0.000 6.975
ATOMIC_POSITIONS crystal
Ac 0.135 0.865 0.750
Ac 0.865 0.135 0.250
Ag 0.061 0.939 0.250
Ag 0.337 0.663 0.557
Ag 0.337 0.663 0.943
Ag 0.500 0.500 0.000
Ag 0.500 0.500 0.500
Ag 0.663 0.337 0.057
Ag 0.663 0.337 0.443
Ag 0.939 0.061 0.750
Au 0.229 0.771 0.250
Au 0.771 0.229 0.750
! Symmetry: Cmcm, No. 63
! E_form (meV per atom): -174
! Excess energy over the best structure of this formula in the dataset (meV per atom): 55


! MnCuGeAu PBE-GGA optimized geometry; values from VASP
&SYSTEM
  ibrav = 0, nat = 4, ntyp = 4
/
ATOMIC_SPECIES
Mn 54.94 Mn.upf
Cu 63.55 Cu.upf
Ge 72.64 Ge.upf
Au 196.97 Au.upf
CELL_PARAMETERS angstrom
5.258 -1.414 0.000
5.258 1.414 0.000
-1.612 0.000 4.138
ATOMIC_POSITIONS crystal
Mn 0.000 0.000 0.000
Cu 0.717 0.717 0.400
Ge 0.491 0.491 0.504
Au 0.261 0.261 0.938
! Symmetry: Cm, No. 8
! E_form (meV per atom): 64
! Excess energy over the best structure of this formula in the dataset (meV per atom): 46